[1]
DFT (GGA-PBE) results for an optimized crystal structure of NaPbO2F.

Cell lengths 4.218, 4.218, 4.169 Å; angles 90.00, 90.00, 90.00 degrees
Last column: magnetic moment on the atom in μB.
Sites, in units of the cell vectors:
O 0.500 0.000 0.000  0.82
O 0.000 0.500 0.000  0.82
F 0.000 0.000 0.500  0.03
Na 0.000 0.000 0.000  0.01
Pb 0.500 0.500 0.500  -0.01

Summary:
The calculation puts the formation energy without anion corrections at -0.76 eV/atom. As for the total energy: -4.126 eV/atom.


[2]
DFT (GGA-PBE) results for an optimized crystal structure of PPt.

Cell lengths 6.943, 6.943, 3.286 Å; angles 90.00, 90.00, 90.00 degrees
Sites, in units of the cell vectors:
P 0.696 0.304 0.000
P 0.196 0.196 0.500
P 0.304 0.696 0.000
P 0.804 0.804 0.500
Pt 0.141 0.859 0.500
Pt 0.359 0.359 0.000
Pt 0.859 0.141 0.500
Pt 0.641 0.641 0.000

Summary:
As for the total energy: -6.093 eV/atom. As for the calculated formation energy: -0.74 eV per formula unit.


[3]
DFT (GGA-PBE) results for an optimized crystal structure of Hf3Sn2.

Cell lengths 5.579, 5.579, 8.292 Å; angles 109.66, 109.66, 90.00 degrees
Sites, in units of the cell vectors:
Hf 0.132 0.882 0.265
Hf 0.132 0.382 0.265
Hf 0.507 0.007 0.015
Hf 0.132 0.382 0.765
Hf 0.632 0.382 0.765
Hf 0.757 0.757 0.515
Sn 0.703 0.203 0.406
Sn 0.953 0.953 0.906
Sn 0.312 0.812 0.623
Sn 0.562 0.562 0.123

Summary:
As for the total energy: -7.751 eV/atom. As for the calculated formation energy: -0.89 eV per formula unit.


[4]
DFT (GGA-PBE) results for an optimized crystal structure of RbTl12In6.

Cell lengths 9.002, 9.002, 9.002 Å; angles 105.31, 105.31, 105.31 degrees
Sites, in units of the cell vectors:
Tl 0.137 0.389 0.389
Tl 0.389 0.137 0.389
Tl 0.611 0.863 0.611
Tl 0.389 0.389 0.137
Tl 0.500 0.886 0.114
Tl 0.114 0.500 0.886
Tl 0.863 0.611 0.611
Tl 0.500 0.114 0.886
Tl 0.114 0.886 0.500
Tl 0.886 0.500 0.114
Tl 0.611 0.611 0.863
Tl 0.886 0.114 0.500
Rb 0.000 0.000 0.000
In 0.289 0.289 0.709
In 0.289 0.709 0.289
In 0.291 0.711 0.711
In 0.711 0.291 0.711
In 0.711 0.711 0.291
In 0.709 0.289 0.289

Summary:
As for the total energy: -2.368 eV/atom. As for the calculated formation energy: 0.80 eV per formula unit.


[5]
DFT (GGA-PBE) results for an optimized crystal structure of NaAsF4.

Cell lengths 4.157, 5.485, 8.049 Å; angles 90.00, 90.00, 90.00 degrees
Sites, in units of the cell vectors:
As 0.512 0.500 0.814
As 0.012 0.000 0.186
F 0.348 0.222 0.155
F 0.934 0.777 0.367
F 0.434 0.723 0.633
F 0.934 0.223 0.367
F 0.348 0.778 0.155
F 0.848 0.278 0.845
F 0.434 0.277 0.633
F 0.848 0.722 0.845
Na 0.928 0.000 0.626
Na 0.428 0.500 0.374

Summary:
The calculation puts the formation energy without anion corrections at -2.34 eV/atom. As for the total energy: -4.579 eV/atom.


[6]
DFT (GGA-PBE) results for an optimized crystal structure of InBiPb.

Cell lengths 5.103, 7.671, 15.341 Å; angles 142.31, 90.00, 90.00 degrees
Sites, in units of the cell vectors:
In 0.250 0.913 0.043
In 0.750 0.087 0.957
In 0.750 0.087 0.457
In 0.250 0.913 0.543
Bi 0.250 0.241 0.378
Bi 0.750 0.759 0.122
Bi 0.250 0.241 0.878
Bi 0.750 0.759 0.622
Pb 0.750 0.423 0.290
Pb 0.250 0.577 0.710
Pb 0.250 0.577 0.210
Pb 0.750 0.423 0.790

Summary:
As for the total energy: -3.407 eV/atom. As for the calculated formation energy: 0.11 eV per formula unit.


[7]
DFT (GGA-PBE) results for an optimized crystal structure of Th4BiTe2P.

Cell lengths 4.377, 7.739, 7.736 Å; angles 109.00, 90.00, 90.00 degrees
Sites, in units of the cell vectors:
Te 0.500 0.000 0.500
Te 0.000 0.500 0.500
Th 0.000 0.709 0.214
Th 0.500 0.719 0.769
Th 0.000 0.291 0.786
Th 0.500 0.281 0.231
P 0.500 0.500 0.000
Bi 0.000 0.000 0.000

Summary:
The calculation puts the formation energy without anion corrections at -1.05 eV/atom. As for the total energy: -6.708 eV/atom.


[8]
DFT (GGA-PBE) results for an optimized crystal structure of CuPdW.

Cell lengths 4.148, 2.657, 8.254 Å; angles 80.74, 90.00, 90.00 degrees
Sites, in units of the cell vectors:
Cu 0.250 0.879 0.242
Cu 0.750 0.121 0.758
Pd 0.250 0.551 0.899
Pd 0.750 0.449 0.101
W 0.750 0.293 0.415
W 0.250 0.707 0.585

Summary:
As for the total energy: -7.261 eV/atom. As for the calculated formation energy: 0.46 eV per formula unit.